Compound: La2Tb3PrY6
Source: Alexandria
Functional: GGA-PBE
Structure: relaxed

CIF file:
```
data_La2Tb3PrY6
_chemical_formula_sum 'La2 Tb3 Pr1 Y6'
_symmetry_space_group_name_H-M 'P 1'
_symmetry_Int_Tables_number 1
_cell_length_a 6.2645
_cell_length_b 6.2645
_cell_length_c 11.8983
_cell_angle_alpha 95.02
_cell_angle_beta 95.02
_cell_angle_gamma 119.99
loop_
_symmetry_equiv_pos_as_xyz
'x,y,z'
loop_
_atom_site_label
_atom_site_fract_x
_atom_site_fract_y
_atom_site_fract_z
Y1 0.9148 0.5819 0.7454
Y2 0.7522 0.7522 0.2546
Y3 0.4181 0.0852 0.2546
Y4 0.0852 0.4181 0.2546
Y5 0.5819 0.9148 0.7454
Y6 0.2478 0.2478 0.7454
La1 0.6666 0.3334 0.0000
La2 0.3334 0.6666 0.0000
Pr1 0.0000 0.0000 0.0000
Tb1 0.8334 0.1666 0.5000
Tb2 0.5000 0.5000 0.5000
Tb3 0.1666 0.8334 0.5000
```

Values from the calculation:
final energy: -5.59 eV/atom
DFT formation energy: 0.018 eV per atom
spin magnetization: 0.00 μB per formula unit